# CsMn2AgTe4

CsMn2AgTe4 after structural relaxation (PBE, Alexandria via LeMat-Bulk).

a = 5.4731 Å, b = 7.7328 Å, c = 7.7328 Å
α = 84.46°, β = 69.27°, γ = 69.27°
Last column: nearest neighbours and their distance in Å.
Positions (direct):
1 Cs 0.0000 0.0000 0.0000  8 Te 3.88-4.15
2 Mn 0.0966 0.4034 0.4034  1 Mn 1.94
3 Mn 0.9034 0.5966 0.5966  1 Mn 1.94
4 Ag 0.5000 0.5000 0.5000  4 Te 2.88, 4 Mn 2.90
5 Te 0.4160 0.1501 0.5273  1 Mn 2.49
6 Te 0.0934 0.8499 0.4727  1 Mn 2.49
7 Te 0.9066 0.5273 0.1501  1 Mn 2.49
8 Te 0.5840 0.4727 0.8499  1 Mn 2.49

Output
As for the calculated volume: 286.13 Å³/cell. The calculation puts the formation energy (no corrections) at 0.090 eV/atom. The symmetry is I222, No. 23. As for the total magnetization: 2.84 μB per cell.

***

# CsAgMo3

CsAgMo3 after structural relaxation (PBE, Alexandria via LeMat-Bulk).

a = 5.0471 Å, b = 5.0471 Å, c = 5.0471 Å
α = 90.00°, β = 90.00°, γ = 90.00°
Last column: nearest neighbours and their distance in Å.
Positions (direct):
1 Cs 0.5000 0.5000 0.5000  12 Mo 3.57
2 Mo 0.0000 0.5000 0.0000  2 Ag 2.52
3 Mo 0.0000 0.0000 0.5000  2 Ag 2.52
4 Mo 0.5000 0.0000 0.0000  2 Ag 2.52
5 Ag 0.0000 0.0000 0.0000  6 Mo 2.52

Output
The formation energy is 2604 meV per atom. As for the calculated volume: 128.57 Å³/cell. The calculation puts the energy above the most stable polymorph in this dataset at 0 meV/atom. The symmetry is Pm-3m, No. 221. As for the total magnetization: 6.16 μB per cell.

***

# CsAgMo3

CsAgMo3 after structural relaxation (PBE, Alexandria via LeMat-Bulk).

a = 4.8920 Å, b = 4.8920 Å, c = 4.8920 Å
α = 90.00°, β = 90.00°, γ = 90.00°
Last column: nearest neighbours and their distance in Å.
Positions (direct):
1 Cs 0.0000 0.0000 0.0000  6 Mo 2.45
2 Mo 0.0000 0.5000 0.0000  2 Cs 2.45
3 Mo 0.0000 0.0000 0.5000  2 Cs 2.45
4 Mo 0.5000 0.0000 0.0000  2 Cs 2.45
5 Ag 0.5000 0.5000 0.5000  12 Mo 3.46

Output
The formation energy is 3138 meV per atom. As for the calculated volume: 117.07 Å³/cell. The calculation puts the energy above the most stable polymorph in this dataset at 534 meV/atom. The symmetry is Pm-3m, No. 221. As for the total magnetization: 0.00 μB per cell.

***

# CsAgMo2

CsAgMo2 after structural relaxation (PBE, Alexandria via LeMat-Bulk).

a = 4.4433 Å, b = 4.4433 Å, c = 11.3460 Å
α = 78.71°, β = 78.71°, γ = 90.00°
Last column: nearest neighbours and their distance in Å.
Positions (direct):
1 Cs 0.0000 0.0000 0.0000  4 Ag 3.14, 4 Mo 3.45
2 Cs 0.7500 0.2500 0.5000  4 Ag 3.14, 4 Mo 3.45
3 Mo 0.2793 0.1250 0.2500  2 Mo 2.38
4 Mo 0.4707 0.6250 0.2500  2 Mo 2.38
5 Mo 0.3750 0.7207 0.7500  2 Mo 2.38
6 Mo 0.8750 0.5293 0.7500  2 Mo 2.38
7 Ag 0.5000 0.5000 0.0000  4 Mo 2.97, 4 Cs 3.14
8 Ag 0.2500 0.7500 0.5000  4 Mo 2.97, 4 Cs 3.14

Output
The formation energy is 1621 meV per atom. As for the calculated volume: 215.24 Å³/cell. The calculation puts the energy above the most stable polymorph in this dataset at 0 meV/atom. The symmetry is I-42d, No. 122. As for the total magnetization: 0.00 μB per cell.

***

# Cs3AgMo

Cs3AgMo after structural relaxation (PBE, Alexandria via LeMat-Bulk).

a = 7.3998 Å, b = 7.3998 Å, c = 7.3998 Å
α = 90.00°, β = 90.00°, γ = 90.00°
Last column: nearest neighbours and their distance in Å.
Positions (direct):
1 Cs 0.0000 0.5000 0.0000  2 Mo 3.70
2 Cs 0.0000 0.0000 0.5000  2 Mo 3.70
3 Cs 0.5000 0.0000 0.0000  2 Mo 3.70
4 Mo 0.0000 0.0000 0.0000  6 Cs 3.70
5 Ag 0.5000 0.5000 0.5000  12 Cs 5.23

Output
The formation energy is 1155 meV per atom. As for the calculated volume: 405.19 Å³/cell. The symmetry is Pm-3m, No. 221. As for the total magnetization: 6.00 μB per cell.

***

# CsAg3Mo

CsAg3Mo after structural relaxation (PBE, Alexandria via LeMat-Bulk).

a = 5.9943 Å, b = 5.9943 Å, c = 5.9943 Å
α = 90.00°, β = 90.00°, γ = 90.00°
Last column: nearest neighbours and their distance in Å.
Positions (direct):
1 Cs 0.0000 0.0000 0.0000  6 Ag 3.00
2 Mo 0.5000 0.5000 0.5000  12 Ag 4.24
3 Ag 0.0000 0.5000 0.0000  2 Cs 3.00
4 Ag 0.0000 0.0000 0.5000  2 Cs 3.00
5 Ag 0.5000 0.0000 0.0000  2 Cs 3.00

Output
The formation energy is 2087 meV per atom. As for the calculated volume: 215.38 Å³/cell. The symmetry is Pm-3m, No. 221. As for the total magnetization: 4.00 μB per cell.

***

# Cs2AgMo

Cs2AgMo after structural relaxation (PBE, Alexandria via LeMat-Bulk).

a = 5.9574 Å, b = 5.9574 Å, c = 5.9574 Å
α = 60.00°, β = 60.00°, γ = 60.00°
Last column: nearest neighbours and their distance in Å.
Positions (direct):
1 Cs 0.2500 0.2500 0.2500  4 Mo 3.65, 4 Ag 3.65
2 Cs 0.7500 0.7500 0.7500  4 Ag 3.65, 4 Mo 3.65
3 Mo 0.0000 0.0000 0.0000  8 Cs 3.65
4 Ag 0.5000 0.5000 0.5000  8 Cs 3.65

Output
The formation energy is 1335 meV per atom. As for the calculated volume: 149.51 Å³/cell. The symmetry is Fm-3m, No. 225. As for the total magnetization: 5.04 μB per cell.

***

# CsAgMo2

CsAgMo2 after structural relaxation (PBE, Alexandria via LeMat-Bulk).

a = 4.7781 Å, b = 4.7781 Å, c = 4.7781 Å
α = 60.00°, β = 60.00°, γ = 60.00°
Last column: nearest neighbours and their distance in Å.
Positions (direct):
1 Cs 0.5000 0.5000 0.5000  8 Mo 2.93
2 Mo 0.2500 0.2500 0.2500  4 Cs 2.93, 4 Ag 2.93
3 Mo 0.7500 0.7500 0.7500  4 Ag 2.93, 4 Cs 2.93
4 Ag 0.0000 0.0000 0.0000  8 Mo 2.93

Output
The formation energy is 1999 meV per atom. As for the calculated volume: 77.14 Å³/cell. The calculation puts the energy above the most stable polymorph in this dataset at 378 meV/atom. The symmetry is Fm-3m, No. 225. As for the total magnetization: 0.00 μB per cell.

***

# Cs2NiAgMo

Cs2NiAgMo after structural relaxation (PBE, Alexandria via LeMat-Bulk).

a = 6.5184 Å, b = 4.7658 Å, c = 6.5184 Å
α = 90.00°, β = 90.00°, γ = 90.00°
Last column: nearest neighbours and their distance in Å.
Positions (direct):
1 Cs 0.0000 0.0000 0.5000  2 Ag 3.26
2 Cs 0.5000 0.0000 0.0000  2 Ag 3.26
3 Ni 0.0000 0.5000 0.0000  2 Ag 2.38
4 Mo 0.5000 0.5000 0.5000  8 Cs 4.04
5 Ag 0.0000 0.0000 0.0000  2 Ni 2.38

Output
The formation energy is 1480 meV per atom. As for the calculated volume: 202.50 Å³/cell. The symmetry is P4/mmm, No. 123. As for the total magnetization: 5.76 μB per cell.

***

Which value of total magnetization does entry 8 give? 0.00 μB per cell